# TaGeI3 (PBE, relaxed)
# ΔE to the lowest computed polymorph = 0.4940 eV per atom
# Mass density = 5.58 Mg/m³
# Crystal system = cubic
data_TaGeI3
_cell_length_a 5.736
_cell_length_b 5.736
_cell_length_c 5.736
_cell_angle_alpha 90.00
_cell_angle_beta 90.00
_cell_angle_gamma 90.00
_symmetry_space_group_name_H-M 'P m -3 m'
_symmetry_Int_Tables_number 221
_symmetry_space_group_name_Hall '-P 4 2 3'
loop_
_atom_site_label
_atom_site_type_symbol
_atom_site_fract_x
_atom_site_fract_y
_atom_site_fract_z
Ta1 Ta 0.000 0.000 0.000
Ge1 Ge 0.500 0.500 0.500
I1 I 0.000 0.500 0.500

=====

# TaGeI (PBE, relaxed)
# Mass density = 8.63 Mg/m³
# Crystal system = monoclinic
# Raw total energy = -17.7 eV per formula unit
data_TaGeI
_cell_length_a 13.022
_cell_length_b 3.348
_cell_length_c 6.723
_cell_angle_alpha 90.00
_cell_angle_beta 92.14
_cell_angle_gamma 90.00
_symmetry_space_group_name_H-M 'C 1 2/m 1'
_symmetry_Int_Tables_number 12
loop_
_symmetry_equiv_pos_as_xyz
'x,y,z'
'-x,-y,-z'
'-x,y,-z'
'x,-y,z'
'x+1/2,y+1/2,z'
'-x+1/2,-y+1/2,-z'
'-x+1/2,y+1/2,-z'
'x+1/2,-y+1/2,z'
loop_
_atom_site_label
_atom_site_type_symbol
_atom_site_fract_x
_atom_site_fract_y
_atom_site_fract_z
Ta1 Ta 0.237 0.000 0.181
Ge1 Ge 0.091 0.500 0.059
I1 I 0.135 0.000 0.573

=====

# TaGeI3 (PBE, relaxed)
# ΔE to the lowest computed polymorph = 0.0000 eV per atom
# Mass density = 6.09 Mg/m³
# Crystal system = cubic
data_TaGeI3
_cell_length_a 5.573
_cell_length_b 5.573
_cell_length_c 5.573
_cell_angle_alpha 90.00
_cell_angle_beta 90.00
_cell_angle_gamma 90.00
_symmetry_space_group_name_H-M 'P m -3 m'
_symmetry_Int_Tables_number 221
_symmetry_space_group_name_Hall '-P 4 2 3'
loop_
_atom_site_label
_atom_site_type_symbol
_atom_site_fract_x
_atom_site_fract_y
_atom_site_fract_z
Ta1 Ta 0.000 0.000 0.000
Ge1 Ge 0.500 0.500 0.500
I1 I 0.000 0.000 0.500

=====

# TaGeI2 (PBE, relaxed)
# ΔE to the lowest computed polymorph = 0.0000 eV per atom
# Mass density = 6.31 Mg/m³
# Crystal system = tetragonal
data_TaGeI2
_cell_length_a 10.172
_cell_length_b 10.172
_cell_length_c 5.160
_cell_angle_alpha 90.00
_cell_angle_beta 90.00
_cell_angle_gamma 90.00
_symmetry_space_group_name_H-M 'I -4 2 d'
_symmetry_Int_Tables_number 122
_symmetry_space_group_name_Hall 'I -4 2bw'
loop_
_atom_site_label
_atom_site_type_symbol
_atom_site_fract_x
_atom_site_fract_y
_atom_site_fract_z
Ta1 Ta 0.000 0.000 0.000
Ge1 Ge 0.000 0.000 0.500
I1 I 0.102 0.250 0.125